# Ac2TmThSe4

An optimized crystal structure of Ac2TmThSe4 (PBE, Alexandria).

Computed properties:
As for the density of states at the Fermi level: 3.98 states/eV/f.u. Its symmetry is P2/m. The energy relative to the elements, uncorrected is -1708 meV per atom. The calculation puts the total magnetization at 0.00 μB per formula unit.

The structure in POSCAR format:
```
Ac2TmThSe4
1.0
4.213 0.000 0.000
0.000 7.417 0.167
0.000 -2.555 7.082
Ac Tm Th Se
2 1 1 4
direct
0.500 0.000 0.500 Ac
0.000 0.500 0.500 Ac
0.000 0.000 0.000 Tm
0.500 0.500 0.000 Th
0.500 0.231 0.221 Se
0.500 0.769 0.779 Se
0.000 0.247 0.773 Se
0.000 0.753 0.227 Se
```